# 1
The following is a DFT calculation (PBE) of a geometry-optimized Pm4NdHo2 structure.

Unit cell a=12.572 b=12.572 c=6.823 alpha=97.02 beta=97.02 gamma=150.13
Element x y z (fractional)
Pm 0.716 0.180 0.871
Pm 0.180 0.716 0.371
Pm 0.185 0.792 0.900
Pm 0.792 0.185 0.400
Pm 0.035 0.142 0.600
Pm 0.558 0.595 0.129
Pm 0.595 0.558 0.629
Pm 0.142 0.035 0.100
Nd 0.427 0.677 0.500
Nd 0.677 0.427 0.000
Ho 0.621 0.303 0.447
Ho 0.924 0.106 0.054
Ho 0.106 0.924 0.554
Ho 0.303 0.621 0.947

Summary:
- formation energy from the elements (kJ/mol of formula units) = 39
- energy relative to the lowest polymorph listed for this composition (eV/atom) = 0.000
- density of states at the Fermi level (states/eV per cell) = 20.88

---

# 2
The following is a DFT calculation (PBE) of a geometry-optimized K3Pm3PuSe8 structure.

Unit cell a=8.553 b=8.552 c=9.233 alpha=117.59 beta=90.00 gamma=120.00
Site moments in Bohr magnetons follow the coordinates.
Element x y z (fractional)
K 0.000 0.000 0.000  0.00
K 0.000 0.500 0.000  0.00
K 0.500 0.500 0.000  0.00
Pm 0.500 0.000 0.500  0.00
Pm 0.500 0.500 0.500  0.00
Pm 0.000 0.500 0.500  0.00
Pu 0.000 0.000 0.500  4.66
Se 0.263 0.527 0.290  0.00
Se 0.737 0.473 0.710  0.00
Se 0.772 0.543 0.299  -0.08
Se 0.228 0.457 0.701  -0.08
Se 0.772 0.027 0.299  -0.08
Se 0.228 0.973 0.701  -0.08
Se 0.255 0.027 0.299  -0.08
Se 0.745 0.973 0.701  -0.08

Summary:
- density of states at the Fermi level (states/eV per cell) = 12.31
- formation energy without anion corrections (eV/atom) = -1.643

---

# 3
The following is a DFT calculation (PBE) of a geometry-optimized Tm2Fe3C2 structure.

Unit cell a=3.229 b=4.942 c=6.464 alpha=115.20 beta=90.00 gamma=109.07
Site moments in Bohr magnetons follow the coordinates.
Element x y z (fractional)
Tm 0.870 0.741 0.218  -0.23
Tm 0.130 0.259 0.782  -0.23
Fe 0.500 0.000 0.000  1.39
Fe 0.647 0.294 0.423  1.57
Fe 0.353 0.706 0.577  1.57
C 0.844 0.687 0.770  -0.05
C 0.156 0.313 0.230  -0.05

Summary:
- formation energy from the elements (kJ/mol of formula units) = -6
- density of states at the Fermi level (states/eV per cell) = 4.96

---

# 4
The following is a DFT calculation (PBE) of a geometry-optimized LiYTe2 structure.

Unit cell a=7.478 b=7.478 c=6.442 alpha=54.52 beta=54.52 gamma=90.00
Element x y z (fractional)
Y 0.750 0.750 0.500
Y 0.250 0.250 0.500
Te 0.807 0.307 0.000
Te 0.193 0.693 0.000
Te 0.307 0.193 0.000
Te 0.693 0.807 0.000
Li 0.750 0.250 0.500
Li 0.250 0.750 0.500

Summary:
- density of states at the Fermi level (states/eV per cell) = 0.00
- formation energy without anion corrections (eV/atom) = -1.105

---

# 5
The following is a DFT calculation (PBE) of a geometry-optimized K3TmU3Te8 structure.

Unit cell a=8.954 b=8.921 c=9.864 alpha=116.95 beta=90.10 gamma=119.80
Site moments in Bohr magnetons follow the coordinates.
Element x y z (fractional)
K 0.000 0.000 0.000  0.00
K 0.000 0.500 0.000  0.00
K 0.500 0.500 0.000  0.00
Tm 0.000 0.000 0.500  -0.01
U 0.500 0.000 0.500  -2.58
U 0.500 0.500 0.500  -2.60
U 0.000 0.500 0.500  2.54
Te 0.263 0.526 0.288  0.02
Te 0.737 0.474 0.712  0.02
Te 0.766 0.532 0.293  0.00
Te 0.234 0.468 0.707  0.00
Te 0.766 0.027 0.293  0.00
Te 0.234 0.973 0.707  0.00
Te 0.262 0.028 0.294  0.05
Te 0.738 0.972 0.706  0.05

Summary:
- density of states at the Fermi level (states/eV per cell) = 19.30
- formation energy without anion corrections (eV/atom) = -0.935

---

# 6
The following is a DFT calculation (PBE) of a geometry-optimized Y4GaSn2 structure.

Unit cell a=4.696 b=8.835 c=7.685 alpha=136.70 beta=107.79 gamma=90.00
Element x y z (fractional)
Y 0.919 0.215 0.838
Y 0.081 0.785 0.162
Y 0.672 0.286 0.345
Y 0.328 0.714 0.655
Ga 0.000 0.000 0.000
Sn 0.655 0.642 0.310
Sn 0.345 0.358 0.690

Summary:
- formation energy from the elements (kJ/mol of formula units) = -430
- energy relative to the lowest polymorph listed for this composition (eV/atom) = 0.000
- density of states at the Fermi level (states/eV per cell) = 6.12

---

# 7
The following is a DFT calculation (PBE) of a geometry-optimized ZnCr2Cl structure.

Unit cell a=6.382 b=6.382 c=4.428 alpha=89.96 beta=89.96 gamma=27.26
Site moments in Bohr magnetons follow the coordinates.
Element x y z (fractional)
Cr 0.000 0.000 0.000  -3.03
Cr 0.653 0.653 0.000  3.23
Zn 0.531 0.531 0.500  0.02
Cl 0.316 0.316 0.001  0.00

Summary:
- energy relative to the lowest polymorph listed for this composition (eV/atom) = 0.068
- density of states at the Fermi level (states/eV per cell) = 0.87
- formation energy without anion corrections (eV/atom) = 0.181

---

# 8
The following is a DFT calculation (PBE) of a geometry-optimized Mg2NbSiO structure.

Unit cell a=4.748 b=4.825 c=4.748 alpha=90.00 beta=90.00 gamma=90.00
Element x y z (fractional)
Mg 0.000 0.000 0.500
Mg 0.500 0.000 0.000
Nb 0.000 0.500 0.000
Si 0.000 0.000 0.000
O 0.500 0.500 0.500

Summary:
- density of states at the Fermi level (states/eV per cell) = 4.93
- formation energy without anion corrections (eV/atom) = 0.701

---

# 9
The following is a DFT calculation (PBE) of a geometry-optimized Nb3CoAu structure.

Unit cell a=4.939 b=4.939 c=4.939 alpha=90.00 beta=90.00 gamma=90.00
Site moments in Bohr magnetons follow the coordinates.
Element x y z (fractional)
Co 0.500 0.500 0.500  2.09
Nb 0.000 0.500 0.000  0.07
Nb 0.000 0.000 0.500  -0.04
Nb 0.500 0.000 0.000  0.17
Au 0.000 0.000 0.000  -0.01

Summary:
- formation energy from the elements (kJ/mol of formula units) = 926
- energy relative to the lowest polymorph listed for this composition (eV/atom) = 1.349
- density of states at the Fermi level (states/eV per cell) = 8.89

---

# 10
The following is a DFT calculation (PBE) of a geometry-optimized Ac2TlGaO6 structure.

Unit cell a=5.106 b=5.598 c=5.598 alpha=90.00 beta=90.00 gamma=90.00
Element x y z (fractional)
Ac 0.023 0.500 0.000
Ac 0.023 0.000 0.500
Tl 0.565 0.500 0.500
Ga 0.585 0.000 0.000
O 0.722 0.235 0.235
O 0.722 0.235 0.765
O 0.143 0.500 0.500
O 0.218 0.000 0.000
O 0.722 0.765 0.765
O 0.722 0.765 0.235

Summary:
- formation energy without anion corrections (eV/atom) = -2.246

---

# 11
The following is a DFT calculation (PBE) of a geometry-optimized Al2SnRu2 structure.

Unit cell a=7.140 b=7.140 c=3.131 alpha=90.00 beta=90.00 gamma=90.00
Element x y z (fractional)
Ru 0.343 0.843 0.000
Ru 0.843 0.657 0.000
Ru 0.657 0.157 0.000
Ru 0.157 0.343 0.000
Sn 0.000 0.000 0.000
Sn 0.500 0.500 0.000
Al 0.137 0.637 0.500
Al 0.637 0.863 0.500
Al 0.863 0.363 0.500
Al 0.363 0.137 0.500

Summary:
- formation energy from the elements (kJ/mol of formula units) = -164
- energy relative to the lowest polymorph listed for this composition (eV/atom) = 0.000
- density of states at the Fermi level (states/eV per cell) = 6.03

---

# 12
The following is a DFT calculation (PBE) of a geometry-optimized LiMn2CrI structure.

Unit cell a=4.505 b=4.505 c=5.709 alpha=90.00 beta=90.00 gamma=90.00
Site moments in Bohr magnetons follow the coordinates.
Element x y z (fractional)
I 0.500 0.500 0.500  0.03
Cr 0.000 0.000 0.000  -3.10
Mn 0.000 0.500 0.000  3.30
Mn 0.500 0.000 0.000  3.30
Li 0.000 0.000 0.500  -0.04

Summary:
- density of states at the Fermi level (states/eV per cell) = 2.23
- formation energy without anion corrections (eV/atom) = 0.767

---

# 13
The following is a DFT calculation (PBE) of a geometry-optimized BiP3Pb structure.

Unit cell a=5.247 b=5.247 c=5.247 alpha=90.00 beta=90.00 gamma=90.00
Element x y z (fractional)
Pb 0.500 0.500 0.500
P 0.000 0.500 0.000
P 0.000 0.000 0.500
P 0.500 0.000 0.000
Bi 0.000 0.000 0.000

Summary:
- formation energy from the elements (kJ/mol of formula units) = 519
- energy relative to the lowest polymorph listed for this composition (eV/atom) = 0.000
- density of states at the Fermi level (states/eV per cell) = 6.91

---

# 14
The following is a DFT calculation (PBE) of a geometry-optimized AlCdNi2 structure.

Unit cell a=5.121 b=5.121 c=5.121 alpha=146.23 beta=131.04 gamma=60.81
Element x y z (fractional)
Ni 0.985 0.985 0.000
Ni 0.745 0.245 0.500
Al 0.522 0.522 0.000
Cd 0.249 0.749 0.500

Summary:
- formation energy from the elements (kJ/mol of formula units) = -53
- density of states at the Fermi level (states/eV per cell) = 2.17

---

# 15
The following is a DFT calculation (PBE) of a geometry-optimized Sr2Bi2O7 structure.

Unit cell a=5.448 b=5.735 c=5.448 alpha=90.00 beta=98.17 gamma=90.00
Site moments in Bohr magnetons follow the coordinates.
Element x y z (fractional)
Sr 0.758 0.500 0.758  0.00
Sr 0.242 0.500 0.242  0.00
Bi 0.719 0.000 0.281  0.00
Bi 0.281 0.000 0.719  0.00
O 0.000 0.237 0.500  0.02
O 0.500 0.763 0.000  0.02
O 0.000 0.763 0.500  0.02
O 0.500 0.237 0.000  0.02
O 0.000 0.000 0.000  0.14
O 0.500 0.775 0.500  0.01
O 0.500 0.225 0.500  0.01

Summary:
- density of states at the Fermi level (states/eV per cell) = 5.31
- formation energy without anion corrections (eV/atom) = -1.480

---

# 16
The following is a DFT calculation (PBE) of a geometry-optimized CePm3Pb2C structure.

Unit cell a=4.844 b=5.028 c=9.018 alpha=106.19 beta=105.58 gamma=90.00
Site moments in Bohr magnetons follow the coordinates.
Element x y z (fractional)
Ce 0.500 0.000 0.000  0.28
Pm 0.000 0.500 0.000  0.02
Pm 0.161 0.161 0.322  0.01
Pm 0.839 0.839 0.678  0.01
Pb 0.641 0.641 0.283  0.00
Pb 0.359 0.359 0.717  0.00
C 0.000 0.000 0.000  -0.01

Summary:
- formation energy from the elements (kJ/mol of formula units) = -297
- density of states at the Fermi level (states/eV per cell) = 6.05

---

# 17
The following is a DFT calculation (PBE) of a geometry-optimized SrCa2CdO4 structure.

Unit cell a=3.459 b=6.210 c=12.261 alpha=90.00 beta=90.00 gamma=106.17
Element x y z (fractional)
Sr 0.137 0.274 0.750
Sr 0.863 0.726 0.250
Ca 0.372 0.743 0.530
Ca 0.628 0.257 0.030
Ca 0.628 0.257 0.470
Ca 0.372 0.743 0.970
Cd 0.874 0.747 0.750
Cd 0.126 0.253 0.250
O 0.253 0.506 0.118
O 0.747 0.494 0.618
O 0.747 0.494 0.882
O 0.253 0.506 0.382
O 0.000 0.000 0.500
O 0.000 0.000 0.000
O 0.486 0.972 0.750
O 0.514 0.028 0.250

Summary:
- density of states at the Fermi level (states/eV per cell) = 0.00
- formation energy without anion corrections (eV/atom) = -2.308

---

# 18
The following is a DFT calculation (PBE) of a geometry-optimized In4TcAu structure.

Unit cell a=5.704 b=5.704 c=5.704 alpha=60.00 beta=60.00 gamma=60.00
Element x y z (fractional)
In 0.875 0.375 0.375
In 0.375 0.375 0.875
In 0.375 0.875 0.375
In 0.375 0.375 0.375
Tc 0.750 0.750 0.750
Au 0.000 0.000 0.000

Summary:
- formation energy from the elements (kJ/mol of formula units) = 416
- density of states at the Fermi level (states/eV per cell) = 3.81

---

# 19
The following is a DFT calculation (PBE) of a geometry-optimized KY2Zn structure.

Unit cell a=5.571 b=5.571 c=8.479 alpha=69.61 beta=69.61 gamma=38.14
Site moments in Bohr magnetons follow the coordinates.
Element x y z (fractional)
K 0.169 0.169 0.273  0.01
Y 0.013 0.013 0.920  0.21
Y 0.797 0.797 0.656  0.15
Zn 0.520 0.520 0.650  0.00

Summary:
- formation energy from the elements (kJ/mol of formula units) = 110
- density of states at the Fermi level (states/eV per cell) = 4.13

---

# 20
The following is a DFT calculation (PBE) of a geometry-optimized LaZnPdN structure.

Unit cell a=3.911 b=3.911 c=9.291 alpha=90.00 beta=90.00 gamma=90.00
Element x y z (fractional)
La 0.000 0.500 0.862
La 0.500 0.000 0.138
Zn 0.000 0.500 0.326
Zn 0.500 0.000 0.674
Pd 0.000 0.000 0.500
Pd 0.500 0.500 0.500
N 0.500 0.000 0.888
N 0.000 0.500 0.112

Summary:
- density of states at the Fermi level (states/eV per cell) = 3.80
- formation energy without anion corrections (eV/atom) = -0.801

---

| no. | electronic total energy (eV/atom) |
| --- | --- |
| 1 | -4.65 |
| 2 | -5.63 |
| 3 | -7.55 |
| 4 | -4.77 |
| 5 | -5.39 |
| 6 | -5.91 |
| 7 | -5.41 |
| 8 | -4.03 |
| 9 | -6.20 |
| 10 | -6.58 |
| 11 | -6.35 |
| 12 | -5.52 |
| 13 | -3.69 |
| 14 | -4.19 |
| 15 | -5.65 |
| 16 | -5.70 |
| 17 | -5.61 |
| 18 | -3.38 |
| 19 | -3.54 |
| 20 | -5.73 |